# 1
LaDy3Ho2S6 | PBE | relaxed

Cell and atoms, written as POSCAR:
```
LaDy3Ho2S6
1.0
3.409 -5.925 0.000
3.409 5.925 0.000
-2.287 0.000 6.425
La Dy Ho S
1 3 2 6
direct
0.000 0.000 0.000
0.162 0.838 0.500
0.500 0.500 0.500
0.838 0.162 0.500
0.333 0.667 0.000
0.667 0.333 0.000
0.086 0.431 0.256
0.262 0.262 0.748
0.431 0.086 0.256
0.569 0.914 0.744
0.738 0.738 0.252
0.914 0.569 0.744
```

DOS at the Fermi energy: 5.08 states/eV/cell
E_tot: -76.8 eV per cell
magnetization: 0.0 μB per cell
space group: C2/m
energy relative to the elements, uncorrected: -24.1 eV per formula unit

# 2
La3Dy2HoSb6 | PBE | relaxed

Cell and atoms, written as POSCAR:
```
La3Dy2HoSb6
1.0
3.906 -6.763 0.000
3.906 6.763 0.000
-2.602 0.000 7.334
La Dy Ho Sb
3 2 1 6
direct
0.000 0.000 0.000
0.333 0.667 0.000
0.667 0.333 0.000
0.167 0.833 0.500
0.833 0.167 0.500
0.500 0.500 0.500
0.089 0.421 0.264
0.246 0.246 0.736
0.421 0.089 0.264
0.579 0.911 0.736
0.754 0.754 0.264
0.911 0.579 0.736
```

DOS at the Fermi energy: 2.21 states/eV/cell
E_tot: -67.7 eV per cell
magnetization: 0.0 μB per cell
space group: C2/m
energy relative to the elements, uncorrected: -14.4 eV per formula unit

# 3
La3DyHo2Sb6 | PBE | relaxed

Cell and atoms, written as POSCAR:
```
La3DyHo2Sb6
1.0
3.904 -6.760 0.000
3.904 6.760 0.000
-2.600 0.000 7.328
La Dy Ho Sb
3 1 2 6
direct
0.000 0.000 0.000
0.334 0.666 0.000
0.666 0.334 0.000
0.500 0.500 0.500
0.167 0.833 0.500
0.833 0.167 0.500
0.087 0.421 0.264
0.245 0.245 0.736
0.421 0.087 0.264
0.579 0.913 0.736
0.755 0.755 0.264
0.913 0.579 0.736
```

DOS at the Fermi energy: 2.21 states/eV/cell
E_tot: -67.6 eV per cell
magnetization: 0.0 μB per cell
space group: C2/m
energy relative to the elements, uncorrected: -14.3 eV per formula unit

# 4
LaDyHo2Sc2 | PBE | relaxed

Cell and atoms, written as POSCAR:
```
LaDyHo2Sc2
1.0
6.266 0.000 0.000
0.000 17.565 0.000
0.000 0.000 3.338
La Dy Ho Sc
2 2 4 4
direct
0.000 0.000 0.000
0.500 0.500 0.500
0.000 0.500 0.000
0.500 0.000 0.500
0.210 0.194 0.000
0.290 0.694 0.500
0.710 0.306 0.500
0.790 0.806 0.000
0.207 0.355 0.500
0.293 0.855 0.000
0.707 0.145 0.000
0.793 0.645 0.500
```

DOS at the Fermi energy: 21.02 states/eV/cell
E_tot: -59.4 eV per cell
magnetization: 0.0 μB per cell
space group: Pnnm